(1)
# ZnSnC2

An optimized crystal structure of ZnSnC2 (PBE, Alexandria).

The structure in CIF format:
```
data_ZnSnC2
_chemical_formula_sum 'Zn4 Sn4 C8'
_space_group_name_H-M_alt 'F m -3 m'
_space_group_IT_number 225
_space_group_name_Hall '-F 4 2 3'
_cell_length_a 5.865
_cell_length_b 5.865
_cell_length_c 5.865
_cell_angle_alpha 90.00
_cell_angle_beta 90.00
_cell_angle_gamma 90.00
loop_
_atom_site_label
_atom_site_fract_x
_atom_site_fract_y
_atom_site_fract_z
_atom_site_occupancy
Zn1 0.000 0.000 0.000 1
Sn1 0.000 0.000 0.500 1
C1 0.250 0.250 0.250 1
```

Values from the calculation:
- relative energy among the computed polymorphs (meV/atom) = 755
- ΔE_f (eV per atom) = 2.055

---

(2)
# TiVMoAu

An optimized crystal structure of TiVMoAu (PBE, Alexandria).

The structure in CIF format:
```
data_TiVMoAu
_chemical_formula_sum 'Ti4 V4 Mo4 Au4'
_space_group_name_H-M_alt 'F -4 3 m'
_space_group_IT_number 216
_space_group_name_Hall 'F -4 2 3'
_cell_length_a 6.314
_cell_length_b 6.314
_cell_length_c 6.314
_cell_angle_alpha 90.00
_cell_angle_beta 90.00
_cell_angle_gamma 90.00
loop_
_atom_site_label
_atom_site_fract_x
_atom_site_fract_y
_atom_site_fract_z
_atom_site_occupancy
Ti1 0.000 0.000 0.000 1
V1 0.000 0.000 0.500 1
Mo1 0.250 0.250 0.750 1
Au1 0.250 0.250 0.250 1
```

Values from the calculation:
- ΔE_f (eV per atom) = -0.084

---

(3)
# UGePt2

An optimized crystal structure of UGePt2 (PBE, Alexandria).

The structure in CIF format:
```
data_UGePt2
_chemical_formula_sum 'U3 Ge3 Pt6'
_space_group_name_H-M_alt 'R -3 m'
_space_group_IT_number 166
_space_group_name_Hall '-R 3 2"'
_cell_length_a 2.9292
_cell_length_b 2.9292
_cell_length_c 29.7250
_cell_angle_alpha 90.00
_cell_angle_beta 90.00
_cell_angle_gamma 120.00
loop_
_atom_site_label
_atom_site_fract_x
_atom_site_fract_y
_atom_site_fract_z
_atom_site_occupancy
U1 0.0000 0.0000 0.0000 1
Ge1 0.0000 0.0000 0.5000 1
Pt1 0.0000 0.0000 0.0902 1
```

Values from the calculation:
- ΔE_f (eV per atom) = 0.042

---

(4)
# BeRhBr

An optimized crystal structure of BeRhBr (PBE, Alexandria).

The structure in CIF format:
```
data_BeRhBr
_chemical_formula_sum 'Be2 Rh2 Br2'
_space_group_name_H-M_alt 'P 1'
_space_group_IT_number 1
_space_group_name_Hall 'P 1'
_cell_length_a 2.889
_cell_length_b 3.585
_cell_length_c 10.443
_cell_angle_alpha 88.98
_cell_angle_beta 82.73
_cell_angle_gamma 90.00
loop_
_atom_site_label
_atom_site_fract_x
_atom_site_fract_y
_atom_site_fract_z
_atom_site_occupancy
Be1 0.000 0.000 0.000 1
Be2 0.057 0.507 0.874 1
Rh1 0.474 0.497 0.057 1
Rh2 0.583 0.010 0.817 1
Br1 0.179 0.023 0.607 1
Br2 0.877 0.488 0.267 1
```

Values from the calculation:
- formation energy from raw total energies (kJ/mol of formula units) = -68.7
- relative energy among the computed polymorphs (meV/atom) = 191